Record 1
First-principles (PBE) data for a relaxed structure of Y5TmSc4, as listed in Alexandria via LeMat-Bulk.

Output
Symmetry   Cm (8)
Energy relative to the elements   65 meV/atom
M_tot   0.0 Bohr magnetons per cell
Energy above the most stable polymorph in this dataset   0 meV per atom

a b c (Å): 8.4931 8.4931 6.8228
angles (deg): 90.32 90.32 36.02
Last column: nearest neighbours and their distance in Å.
Sites, in units of the cell vectors:
Y: 0.0000 0.0000 0.0000  5 Sc 3.37-3.50, 6 Y 3.49-3.68, 2 Tm 3.59
Y: 0.1873 0.1873 0.2581  5 Sc 3.07-3.43, 1 Tm 3.32
Y: 0.3836 0.3836 0.7411  3 Sc 3.17-3.53, 2 Tm 3.33-3.49, 1 Y 3.34
Y: 0.5904 0.5904 0.7393  3 Sc 3.06-3.32, 1 Y 3.34
Y: 0.7768 0.7768 0.9988  5 Sc 3.39-3.51, 6 Y 3.48-3.61, 2 Tm 3.66
Tm: 0.3931 0.3931 0.2529  3 Sc 3.16-3.53, 3 Y 3.32-3.49
Sc: 0.1873 0.1873 0.7455  4 Y 3.06-3.33
Sc: 0.5885 0.5885 0.2519  3 Y 3.07-3.32, 1 Tm 3.16, 2 Sc 3.43
Sc: 0.7781 0.7781 0.5018  7 Y 3.39-3.53, 4 Sc 3.44-3.56, 2 Tm 3.64
Sc: 0.9986 0.9986 0.4934  7 Y 3.37-3.64, 4 Sc 3.43-3.56, 2 Tm 3.53

***

Record 2
First-principles (PBE) data for a relaxed structure of Y15TmSc4, as listed in Alexandria via LeMat-Bulk.

Output
Symmetry   P4/mmm (123)
Energy relative to the elements   45 meV/atom
M_tot   0.0 Bohr magnetons per cell

a b c (Å): 4.9623 4.9623 24.7602
angles (deg): 90.00 90.00 90.00
Last column: nearest neighbours and their distance in Å.
Sites, in units of the cell vectors:
Y: 0.0000 0.0000 0.0000  4 Tm 3.51, 8 Y 3.55
Y: 0.0000 0.0000 0.2020  8 Y 3.49-3.50, 4 Sc 3.51
Y: 0.0000 0.0000 0.4006  8 Y 3.49, 4 Sc 3.51
Y: 0.0000 0.0000 0.5994  8 Y 3.49, 4 Sc 3.51
Y: 0.0000 0.0000 0.7980  8 Y 3.49-3.50, 4 Sc 3.51
Y: 0.0000 0.5000 0.1025  2 Sc 3.49, 8 Y 3.50-3.55, 2 Tm 3.55
Y: 0.0000 0.5000 0.3012  8 Y 3.49-3.51, 4 Sc 3.49-3.50
Y: 0.0000 0.5000 0.5000  8 Y 3.49-3.51, 4 Sc 3.50
Y: 0.0000 0.5000 0.6988  8 Y 3.49-3.51, 4 Sc 3.49-3.50
Y: 0.0000 0.5000 0.8975  2 Sc 3.49, 8 Y 3.50-3.55, 2 Tm 3.55
Y: 0.5000 0.0000 0.1025  2 Sc 3.49, 8 Y 3.50-3.55, 2 Tm 3.55
Y: 0.5000 0.0000 0.3012  8 Y 3.49-3.51, 4 Sc 3.49-3.50
Y: 0.5000 0.0000 0.5000  8 Y 3.49-3.51, 4 Sc 3.50
Y: 0.5000 0.0000 0.6988  8 Y 3.49-3.51, 4 Sc 3.49-3.50
Y: 0.5000 0.0000 0.8975  2 Sc 3.49, 8 Y 3.50-3.55, 2 Tm 3.55
Tm: 0.5000 0.5000 0.0000  12 Y 3.51-3.55
Sc: 0.5000 0.5000 0.2017  12 Y 3.49-3.51
Sc: 0.5000 0.5000 0.4006  12 Y 3.49-3.51
Sc: 0.5000 0.5000 0.5994  12 Y 3.49-3.51
Sc: 0.5000 0.5000 0.7983  12 Y 3.49-3.51

***

Record 3
First-principles (PBE) data for a relaxed structure of Y6TmSc2, as listed in Alexandria via LeMat-Bulk.

Output
Symmetry   Ibam (72)
Energy relative to the elements   79 meV/atom
M_tot   0.0 Bohr magnetons per cell
Energy above the most stable polymorph in this dataset   0 meV per atom

a b c (Å): 11.7034 11.7034 11.7034
angles (deg): 152.71 131.93 56.16
Last column: nearest neighbours and their distance in Å.
Sites, in units of the cell vectors:
Y: 0.0024 0.3460 0.6768  4 Y 3.18-3.54, 1 Sc 3.39
Y: 0.0805 0.0805 0.0000  7 Y 3.33-3.67, 1 Tm 3.50, 6 Sc 3.56-3.62
Y: 0.1691 0.8460 0.3436  4 Y 3.18-3.54, 1 Sc 3.39
Y: 0.3309 0.6745 0.6768  4 Y 3.18-3.54, 1 Sc 3.39
Y: 0.4195 0.4195 0.0000  7 Y 3.33-3.67, 1 Tm 3.50, 6 Sc 3.56-3.62
Y: 0.4976 0.1745 0.3436  4 Y 3.18-3.54, 1 Sc 3.39
Y: 0.5024 0.8255 0.6564  4 Y 3.18-3.54, 1 Sc 3.39
Y: 0.5805 0.5805 0.0000  7 Y 3.33-3.67, 1 Tm 3.50, 6 Sc 3.56-3.62
Y: 0.6691 0.3255 0.3232  4 Y 3.18-3.54, 1 Sc 3.39
Y: 0.8309 0.1540 0.6564  4 Y 3.18-3.54, 1 Sc 3.39
Y: 0.9195 0.9195 0.0000  7 Y 3.33-3.67, 1 Tm 3.50, 6 Sc 3.56-3.62
Y: 0.9976 0.6540 0.3232  4 Y 3.18-3.54, 1 Sc 3.39
Tm: 0.2500 0.2500 0.0000  14 Y 3.50-3.69
Tm: 0.7500 0.7500 0.0000  14 Y 3.50-3.69
Sc: 0.1665 0.4930 0.6595  3 Sc 3.18-3.19, 2 Y 3.39
Sc: 0.3335 0.9930 0.3265  3 Sc 3.18-3.19, 2 Y 3.39
Sc: 0.6665 0.0070 0.6735  3 Sc 3.18-3.19, 2 Y 3.39
Sc: 0.8335 0.5070 0.3405  3 Sc 3.18-3.19, 2 Y 3.39

***

Record 4
First-principles (PBE) data for a relaxed structure of YTm6Sc12, as listed in Alexandria via LeMat-Bulk.

Output
Symmetry   R-3m (166)
Energy relative to the elements   311 meV/atom
M_tot   0.0 Bohr magnetons per cell

a b c (Å): 8.9304 8.9304 8.9304
angles (deg): 110.60 110.60 110.60
Last column: nearest neighbours and their distance in Å.
Sites, in units of the cell vectors:
Y: 0.0000 0.0000 0.0000  6 Tm 3.15, 6 Sc 3.29
Tm: 0.0691 0.0691 0.7011  3 Tm 2.94-3.25, 1 Y 3.15, 2 Sc 3.29
Tm: 0.0691 0.7011 0.0691  3 Tm 2.94-3.25, 1 Y 3.15, 2 Sc 3.29
Tm: 0.2989 0.9309 0.9309  3 Tm 2.94-3.25, 1 Y 3.15, 2 Sc 3.29
Tm: 0.7011 0.0691 0.0691  3 Tm 2.94-3.25, 1 Y 3.15, 2 Sc 3.29
Tm: 0.9309 0.2989 0.9309  3 Tm 2.94-3.25, 1 Y 3.15, 2 Sc 3.29
Tm: 0.9309 0.9309 0.2989  3 Tm 2.94-3.25, 1 Y 3.15, 2 Sc 3.29
Sc: 0.1762 0.3955 0.3955  4 Sc 3.13-3.22, 1 Y 3.29, 1 Tm 3.41
Sc: 0.2145 0.5000 0.7855  4 Sc 3.06-3.13, 2 Tm 3.29
Sc: 0.2145 0.7855 0.5000  4 Sc 3.06-3.13, 2 Tm 3.29
Sc: 0.3955 0.1762 0.3955  4 Sc 3.13-3.22, 1 Y 3.29, 1 Tm 3.41
Sc: 0.3955 0.3955 0.1762  4 Sc 3.13-3.22, 1 Y 3.29, 1 Tm 3.41
Sc: 0.5000 0.2145 0.7855  4 Sc 3.06-3.13, 2 Tm 3.29
Sc: 0.5000 0.7855 0.2145  4 Sc 3.06-3.13, 2 Tm 3.29
Sc: 0.6045 0.6045 0.8238  4 Sc 3.13-3.22, 1 Y 3.29, 1 Tm 3.41
Sc: 0.6045 0.8238 0.6045  4 Sc 3.13-3.22, 1 Y 3.29, 1 Tm 3.41
Sc: 0.7855 0.2145 0.5000  4 Sc 3.06-3.13, 2 Tm 3.29
Sc: 0.7855 0.5000 0.2145  4 Sc 3.06-3.13, 2 Tm 3.29
Sc: 0.8238 0.6045 0.6045  4 Sc 3.13-3.22, 1 Y 3.29, 1 Tm 3.41

***

Record 5
First-principles (PBE) data for a relaxed structure of Y8Tm3Sc2, as listed in Alexandria via LeMat-Bulk.

Output
Symmetry   C2/m (12)
Energy relative to the elements   238 meV/atom
M_tot   0.0 Bohr magnetons per cell

a b c (Å): 10.4604 10.4604 5.5758
angles (deg): 90.02 90.02 42.80
Last column: nearest neighbours and their distance in Å.
Sites, in units of the cell vectors:
Y: 0.0991 0.6794 0.9997  1 Tm 3.09, 2 Y 3.20-3.46, 2 Sc 3.31-3.36
Y: 0.1767 0.1767 0.5007  2 Sc 3.22, 4 Y 3.46
Y: 0.3206 0.9009 0.0003  1 Tm 3.09, 2 Y 3.20-3.46, 2 Sc 3.31-3.36
Y: 0.3661 0.3661 0.5001  2 Tm 3.40, 2 Sc 3.48, 5 Y 3.59-3.69
Y: 0.6339 0.6339 0.4999  2 Tm 3.40, 2 Sc 3.48, 5 Y 3.59-3.69
Y: 0.6794 0.0991 0.9997  1 Tm 3.09, 2 Y 3.20-3.46, 2 Sc 3.31-3.36
Y: 0.8233 0.8233 0.4993  2 Sc 3.22, 4 Y 3.46
Y: 0.9009 0.3206 0.0003  1 Tm 3.09, 2 Y 3.20-3.46, 2 Sc 3.31-3.36
Tm: 0.2151 0.7849 0.5000  3 Tm 3.28-3.54, 6 Y 3.40-3.53
Tm: 0.5000 0.5000 0.0000  4 Y 3.09
Tm: 0.7849 0.2151 0.5000  3 Tm 3.28-3.54, 6 Y 3.40-3.53
Sc: 0.2593 0.2593 0.0007  8 Y 3.22-3.48
Sc: 0.7407 0.7407 0.9993  8 Y 3.22-3.48

***

Record 6
First-principles (PBE) data for a relaxed structure of YTm4Sc8, as listed in Alexandria via LeMat-Bulk.

Output
Symmetry   R-3m (166)
Energy relative to the elements   593 meV/atom
M_tot   0.4 Bohr magnetons per cell

a b c (Å): 7.3371 7.3371 7.3371
angles (deg): 90.06 90.06 90.06
Last column: nearest neighbours and their distance in Å.
Sites, in units of the cell vectors:
Y: 0.0000 0.0000 0.0000  8 Sc 3.30-3.31, 6 Tm 3.67
Tm: 0.0000 0.0000 0.5000  8 Sc 3.22
Tm: 0.0000 0.5000 0.0000  8 Sc 3.22
Tm: 0.5000 0.0000 0.0000  8 Sc 3.22
Tm: 0.5000 0.5000 0.5000  8 Sc 3.05
Sc: 0.2600 0.2600 0.2600  4 Tm 3.05-3.22, 1 Y 3.30
Sc: 0.2603 0.2603 0.7405  4 Tm 3.05-3.22, 1 Y 3.31
Sc: 0.2603 0.7405 0.2603  4 Tm 3.05-3.22, 1 Y 3.31
Sc: 0.2595 0.7397 0.7397  4 Tm 3.05-3.22, 1 Y 3.31
Sc: 0.7405 0.2603 0.2603  4 Tm 3.05-3.22, 1 Y 3.31
Sc: 0.7397 0.2595 0.7397  4 Tm 3.05-3.22, 1 Y 3.31
Sc: 0.7397 0.7397 0.2595  4 Tm 3.05-3.22, 1 Y 3.31
Sc: 0.7400 0.7400 0.7400  4 Tm 3.05-3.22, 1 Y 3.30

***

Record 7
First-principles (PBE) data for a relaxed structure of Y6TmSc4, as listed in Alexandria via LeMat-Bulk.

Output
Symmetry   I-42m (121)
Energy relative to the elements   309 meV/atom
M_tot   0.0 Bohr magnetons per cell

a b c (Å): 9.4684 9.4684 9.4684
angles (deg): 140.78 140.78 56.68
Last column: nearest neighbours and their distance in Å.
Sites, in units of the cell vectors:
Y: 0.0000 0.5000 0.5000  4 Sc 3.15, 2 Tm 3.18
Y: 0.0095 0.6326 0.0000  5 Sc 3.25-3.49, 1 Y 3.39, 1 Tm 3.43
Y: 0.3674 0.3674 0.3769  5 Sc 3.25-3.49, 1 Y 3.39, 1 Tm 3.43
Y: 0.5000 0.0000 0.5000  4 Sc 3.15, 2 Tm 3.18
Y: 0.6326 0.0095 0.0000  5 Sc 3.25-3.49, 1 Y 3.39, 1 Tm 3.43
Y: 0.9905 0.9905 0.6231  5 Sc 3.25-3.49, 1 Y 3.39, 1 Tm 3.43
Tm: 0.0000 0.0000 0.0000  8 Y 3.18-3.43
Sc: 0.1990 0.1990 0.6503  1 Sc 3.14, 7 Y 3.15-3.49
Sc: 0.4513 0.8010 0.0000  1 Sc 3.14, 7 Y 3.15-3.49
Sc: 0.5487 0.5487 0.3497  1 Sc 3.14, 7 Y 3.15-3.49
Sc: 0.8010 0.4513 0.0000  1 Sc 3.14, 7 Y 3.15-3.49

***

Record 8
First-principles (PBE) data for a relaxed structure of YTm5Sc, as listed in Alexandria via LeMat-Bulk.

Output
Symmetry   Imm2 (44)
Energy relative to the elements   1017 meV/atom
M_tot   0.0 Bohr magnetons per cell
Energy above the most stable polymorph in this dataset   953 meV per atom

a b c (Å): 7.5450 7.5450 7.5450
angles (deg): 115.95 82.61 133.71
Last column: nearest neighbours and their distance in Å.
Sites, in units of the cell vectors:
Y: 0.0000 0.0000 0.0000  4 Tm 2.83-3.10
Tm: 0.0225 0.2733 0.7491  1 Sc 2.82
Tm: 0.2717 0.5956 0.3239  2 Tm 2.82-2.99, 1 Y 3.05
Tm: 0.2717 0.9478 0.6761  2 Tm 2.82-2.99, 1 Y 3.05
Tm: 0.5224 0.5224 0.0000  2 Y 2.83-3.10, 2 Tm 2.99
Tm: 0.5242 0.2733 0.2509  1 Sc 2.82
Sc: 0.7705 0.2705 0.5000  2 Tm 2.82

***

Record 9
First-principles (PBE) data for a relaxed structure of YTm2Sc5, as listed in Alexandria via LeMat-Bulk.

Output
Symmetry   Cm (8)
Energy relative to the elements   20 meV/atom
M_tot   0.0 Bohr magnetons per cell
Energy above the most stable polymorph in this dataset   0 meV per atom

a b c (Å): 6.3195 6.3195 7.9548
angles (deg): 124.16 124.16 65.52
Last column: nearest neighbours and their distance in Å.
Sites, in units of the cell vectors:
Y: 0.0000 0.0000 0.0000  9 Sc 3.29-3.44, 3 Tm 3.39-3.42
Tm: 0.4921 0.4921 0.0018  9 Sc 3.28-3.46, 1 Tm 3.36, 2 Y 3.42
Tm: 0.5740 0.5740 0.6606  10 Sc 3.30-3.46, 1 Tm 3.36, 1 Y 3.39
Sc: 0.0763 0.0763 0.6581  8 Sc 3.29-3.49, 3 Tm 3.30-3.42, 1 Y 3.32
Sc: 0.0782 0.5825 0.1696  6 Sc 3.28-3.49, 4 Tm 3.28-3.46, 2 Y 3.29-3.35
Sc: 0.4934 0.9923 0.4950  6 Sc 3.28-3.43, 4 Tm 3.30-3.46, 2 Y 3.40-3.44
Sc: 0.5825 0.0782 0.1696  6 Sc 3.28-3.49, 4 Tm 3.28-3.46, 2 Y 3.29-3.35
Sc: 0.9923 0.4934 0.4950  6 Sc 3.28-3.43, 4 Tm 3.30-3.46, 2 Y 3.40-3.44

***

Record 10
First-principles (PBE) data for a relaxed structure of Y2Tm5Sc, as listed in Alexandria via LeMat-Bulk.

Output
Symmetry   Cmcm (63)
Energy relative to the elements   145 meV/atom
M_tot   0.0 Bohr magnetons per cell
Energy above the most stable polymorph in this dataset   102 meV per atom

a b c (Å): 6.4687 6.4687 15.3682
angles (deg): 90.00 90.00 130.32
Last column: nearest neighbours and their distance in Å.
Sites, in units of the cell vectors:
Y: 0.2204 0.7796 0.6309  5 Tm 3.23-3.60, 2 Sc 3.28
Y: 0.2204 0.7796 0.8691  5 Tm 3.23-3.60, 2 Sc 3.28
Y: 0.7796 0.2204 0.1309  5 Tm 3.23-3.60, 2 Sc 3.28
Y: 0.7796 0.2204 0.3691  5 Tm 3.23-3.60, 2 Sc 3.28
Tm: 0.0820 0.9180 0.0930  1 Sc 3.24, 6 Tm 3.45-3.62, 3 Y 3.60-3.62
Tm: 0.0820 0.9180 0.4070  1 Sc 3.24, 6 Tm 3.45-3.62, 3 Y 3.60-3.62
Tm: 0.3852 0.6148 0.0512  1 Tm 3.12, 3 Y 3.23-3.40, 1 Sc 3.36
Tm: 0.3852 0.6148 0.4488  1 Tm 3.12, 3 Y 3.23-3.40, 1 Sc 3.36
Tm: 0.4617 0.5383 0.7500  1 Sc 3.19, 2 Y 3.37, 2 Tm 3.54
Tm: 0.5383 0.4617 0.2500  1 Sc 3.19, 2 Y 3.37, 2 Tm 3.54
Tm: 0.6148 0.3852 0.5512  1 Tm 3.12, 3 Y 3.23-3.40, 1 Sc 3.36
Tm: 0.6148 0.3852 0.9488  1 Tm 3.12, 3 Y 3.23-3.40, 1 Sc 3.36
Tm: 0.9180 0.0820 0.5930  1 Sc 3.24, 6 Tm 3.45-3.62, 3 Y 3.60-3.62
Tm: 0.9180 0.0820 0.9070  1 Sc 3.24, 6 Tm 3.45-3.62, 3 Y 3.60-3.62
Sc: 0.2667 0.7333 0.2500  5 Tm 3.19-3.36, 4 Y 3.28
Sc: 0.7333 0.2667 0.7500  5 Tm 3.19-3.36, 4 Y 3.28

***

Record 11
First-principles (PBE) data for a relaxed structure of Y2TmSc8, as listed in Alexandria via LeMat-Bulk.

Output
Symmetry   C2/m (12)
Energy relative to the elements   139 meV/atom
M_tot   0.0 Bohr magnetons per cell

a b c (Å): 9.1024 9.1024 5.5061
angles (deg): 107.51 107.51 122.88
Last column: nearest neighbours and their distance in Å.
Sites, in units of the cell vectors:
Y: 0.1910 0.8089 0.0000  12 Sc 3.24-3.50
Y: 0.8089 0.1910 0.0000  12 Sc 3.24-3.50
Tm: 0.5000 0.5000 0.5000  4 Sc 3.23-3.60
Sc: 0.0052 0.0052 0.2465  2 Sc 2.66-2.85
Sc: 0.1503 0.4026 0.7784  6 Sc 3.02-3.37, 1 Y 3.29
Sc: 0.2982 0.7018 0.5000  1 Tm 3.23, 4 Y 3.24-3.39, 6 Sc 3.33-3.37
Sc: 0.4026 0.1503 0.7784  6 Sc 3.02-3.37, 1 Y 3.29
Sc: 0.5974 0.8497 0.2216  6 Sc 3.02-3.37, 1 Y 3.29
Sc: 0.7018 0.2982 0.5000  1 Tm 3.23, 4 Y 3.24-3.39, 6 Sc 3.33-3.37
Sc: 0.8497 0.5974 0.2216  6 Sc 3.02-3.37, 1 Y 3.29
Sc: 0.9948 0.9948 0.7535  2 Sc 2.66-2.85

***

Record 12
First-principles (PBE) data for a relaxed structure of Y3TmSc4, as listed in Alexandria via LeMat-Bulk.

Output
Symmetry   Imm2 (44)
Energy relative to the elements   348 meV/atom
M_tot   0.0 Bohr magnetons per cell

a b c (Å): 7.0288 7.0288 7.0288
angles (deg): 129.89 110.64 90.35
Last column: nearest neighbours and their distance in Å.
Sites, in units of the cell vectors:
Y: 0.0000 0.0000 0.0000  6 Sc 3.43-3.59, 2 Y 3.71
Y: 0.1301 0.3353 0.7948  5 Sc 3.20-3.53, 1 Y 3.28, 2 Tm 3.53
Y: 0.5406 0.3353 0.2052  5 Sc 3.20-3.53, 1 Y 3.28, 2 Tm 3.53
Tm: 0.4298 0.9298 0.5000  4 Sc 2.98-3.15
Sc: 0.3206 0.6452 0.6754  3 Sc 2.81-2.98
Sc: 0.6849 0.4486 0.7638  4 Sc 2.81-3.14, 1 Tm 2.98
Sc: 0.6849 0.9211 0.2362  4 Sc 2.81-3.14, 1 Tm 2.98
Sc: 0.9697 0.6452 0.3246  3 Sc 2.81-2.98

***

- Which value of energy relative to the elements does entry 1 give?
  65 meV/atom

***

- energy relative to the elements of number 5 (Y8Tm3Sc2)?
  238 meV/atom